Entry 1:
# ZrHSe (PBE, optimized geometry)
data_ZrHSe
_chemical_formula_sum 'Zr2 H2 Se2'
_space_group_name_H-M_alt 'P 1'
_space_group_IT_number 1
_space_group_name_Hall 'P 1'
_cell_length_a 5.6715
_cell_length_b 5.6715
_cell_length_c 3.6228
_cell_angle_alpha 90.00
_cell_angle_beta 90.00
_cell_angle_gamma 124.17
loop_
_atom_site_label
_atom_site_fract_x
_atom_site_fract_y
_atom_site_fract_z
_atom_site_occupancy
Zr1 0.1586 0.8414 0.7500 1
Zr2 0.8414 0.1586 0.2500 1
H1 0.0536 0.9464 0.2500 1
H2 0.9464 0.0536 0.7500 1
Se1 0.3627 0.6373 0.2500 1
Se2 0.6373 0.3627 0.7500 1
# - Total DFT energy (no corrections): -0.2229 hartree per atom

***

Entry 2:
# Zr2H2Se (PBE, optimized geometry)
data_Zr2H2Se
_chemical_formula_sum 'Zr2 H2 Se1'
_space_group_name_H-M_alt 'P 1'
_space_group_IT_number 1
_space_group_name_Hall 'P 1'
_cell_length_a 6.4542
_cell_length_b 6.4542
_cell_length_c 6.4542
_cell_angle_alpha 150.25
_cell_angle_beta 150.25
_cell_angle_gamma 42.57
loop_
_atom_site_label
_atom_site_fract_x
_atom_site_fract_y
_atom_site_fract_z
_atom_site_occupancy
Zr1 0.1396 0.1396 0.0000 1
Zr2 0.8604 0.8604 0.0000 1
H1 0.2500 0.7500 0.5000 1
H2 0.7500 0.2500 0.5000 1
Se1 0.5000 0.5000 0.0000 1
# - Total DFT energy (no corrections): -0.2269 hartree per atom

***

Entry 3:
# SiH2 (PBE, optimized geometry)
data_SiH2
_chemical_formula_sum 'Si10 H20'
_space_group_name_H-M_alt 'P 1'
_space_group_IT_number 1
_space_group_name_Hall 'P 1'
_cell_length_a 4.7052
_cell_length_b 12.9492
_cell_length_c 6.6887
_cell_angle_alpha 90.00
_cell_angle_beta 97.51
_cell_angle_gamma 90.00
loop_
_atom_site_label
_atom_site_fract_x
_atom_site_fract_y
_atom_site_fract_z
_atom_site_occupancy
Si1 0.0531 0.1588 0.4904 1
Si2 0.0531 0.3412 0.4904 1
Si3 0.3161 0.1036 0.7960 1
Si4 0.3161 0.3964 0.7960 1
Si5 0.4315 0.7500 0.0722 1
Si6 0.5685 0.2500 0.9278 1
Si7 0.6839 0.6036 0.2040 1
Si8 0.6839 0.8964 0.2040 1
Si9 0.9469 0.6588 0.5096 1
Si10 0.9469 0.8412 0.5096 1
H1 0.1129 0.0673 0.9352 1
H2 0.1129 0.4327 0.9352 1
H3 0.1479 0.7500 0.1536 1
H4 0.1804 0.1187 0.3118 1
H5 0.1804 0.3813 0.3118 1
H6 0.2487 0.6198 0.5254 1
H7 0.2487 0.8802 0.5254 1
H8 0.3657 0.7500 0.8468 1
H9 0.4840 0.5169 0.2347 1
H10 0.4840 0.9831 0.2347 1
H11 0.5160 0.0169 0.7653 1
H12 0.5160 0.4831 0.7653 1
H13 0.6343 0.2500 0.1532 1
H14 0.7513 0.1198 0.4746 1
H15 0.7513 0.3802 0.4746 1
H16 0.8196 0.6187 0.6882 1
H17 0.8196 0.8813 0.6882 1
H18 0.8521 0.2500 0.8464 1
H19 0.8871 0.5673 0.0648 1
H20 0.8871 0.9327 0.0648 1
# - E above lowest polymorph: 12 meV/atom

***

Entry 4:
# SiH2 (PBE, optimized geometry)
data_SiH2
_chemical_formula_sum 'Si2 H4'
_space_group_name_H-M_alt 'P 1'
_space_group_IT_number 1
_space_group_name_Hall 'P 1'
_cell_length_a 2.4893
_cell_length_b 4.0369
_cell_length_c 7.4137
_cell_angle_alpha 85.03
_cell_angle_beta 81.90
_cell_angle_gamma 72.08
loop_
_atom_site_label
_atom_site_fract_x
_atom_site_fract_y
_atom_site_fract_z
_atom_site_occupancy
Si1 0.0000 0.0000 0.0000 1
Si2 0.2134 0.4145 0.1913 1
H1 0.2551 0.1844 0.3653 1
H2 0.3733 0.7566 0.5619 1
H3 0.4445 0.5960 0.6242 1
H4 0.9574 0.2317 0.8265 1
# - E above lowest polymorph: 198 meV/atom

***

Entry 5:
# SiH2 (PBE, optimized geometry)
data_SiH2
_chemical_formula_sum 'Si1 H2'
_space_group_name_H-M_alt 'P 1'
_space_group_IT_number 1
_space_group_name_Hall 'P 1'
_cell_length_a 4.3845
_cell_length_b 4.3845
_cell_length_c 3.3281
_cell_angle_alpha 112.17
_cell_angle_beta 112.17
_cell_angle_gamma 32.84
loop_
_atom_site_label
_atom_site_fract_x
_atom_site_fract_y
_atom_site_fract_z
_atom_site_occupancy
Si1 0.0000 0.0000 0.0000 1
H1 0.1953 0.1953 0.1937 1
H2 0.9563 0.9563 0.4565 1
# - E above lowest polymorph: 270 meV/atom

***

Entry 6:
# SiH2 (PBE, optimized geometry)
data_SiH2
_chemical_formula_sum 'Si1 H2'
_space_group_name_H-M_alt 'P 1'
_space_group_IT_number 1
_space_group_name_Hall 'P 1'
_cell_length_a 2.3678
_cell_length_b 2.4613
_cell_length_c 6.1713
_cell_angle_alpha 89.72
_cell_angle_beta 88.67
_cell_angle_gamma 89.98
loop_
_atom_site_label
_atom_site_fract_x
_atom_site_fract_y
_atom_site_fract_z
_atom_site_occupancy
Si1 0.0000 0.0000 0.0000 1
H1 0.9997 0.0000 0.5613 1
H2 0.0101 0.0006 0.4388 1
# - E above lowest polymorph: 302 meV/atom

***

Number 1: V 16.07 Å³/atom. Number 2: V 13.20 Å³/atom. Number 3: V 13.47 Å³/atom. Number 4: V 11.68 Å³/atom. Number 5: V 10.63 Å³/atom. Number 6: V 11.98 Å³/atom.